Here is YTa2Cr at its PBEsol-relaxed geometry from Alexandria via LeMat-Bulk. Energies are from SCAN.

Output
**Spin magnetization**: 0.000 μB/cell
**DOS at the Fermi energy**: 0.807 states/eV/atom
**Uncorrected energy**: -176.9 eV for the cell shown
**Crystal system**: cubic
**Energy of formation from the pure elements**: 60.3 kJ per mole of atoms
**Energy above the most stable polymorph in this dataset**: 1.28 eV per formula unit

```
YTa2Cr
1.0
0.0000 3.2678 3.2678
3.2678 0.0000 3.2678
3.2678 3.2678 0.0000
Y Ta Cr
1 2 1
direct
0.0000 0.0000 0.0000
0.2500 0.2500 0.2500
0.7500 0.7500 0.7500
0.5000 0.5000 0.5000
```

Here is Y2TaCr at its PBEsol-relaxed geometry from Alexandria via LeMat-Bulk. Energies are from SCAN.

Output
**Spin magnetization**: 2.655 μB/cell
**DOS at the Fermi energy**: 0.877 states/eV/atom
**Uncorrected energy**: -138.8 eV for the cell shown
**Crystal system**: tetragonal
**Energy of formation from the pure elements**: 43.5 kJ per mole of atoms
**Energy above the most stable polymorph in this dataset**: 0.46 eV per formula unit

```
Y2TaCr
1.0
-2.2673 2.2673 4.3031
2.2673 -2.2673 4.3031
2.2673 2.2673 -4.3031
Y Ta Cr
2 1 1
direct
0.2500 0.7500 0.5000
0.7500 0.2500 0.5000
0.0000 0.0000 0.0000
0.5000 0.5000 0.0000
```

Here is YTa2Cr at its PBEsol-relaxed geometry from Alexandria via LeMat-Bulk. Energies are from SCAN.

Output
**Spin magnetization**: 1.009 μB/cell
**DOS at the Fermi energy**: 1.113 states/eV/atom
**Uncorrected energy**: -178.2 eV for the cell shown
**Crystal system**: tetragonal
**Energy of formation from the pure elements**: 29.3 kJ per mole of atoms
**Energy above the most stable polymorph in this dataset**: 0.00 eV per formula unit

```
YTa2Cr
1.0
3.2105 0.0000 0.0000
0.0000 3.2105 0.0000
0.0000 0.0000 7.2225
Y Ta Cr
1 2 1
direct
0.0000 0.0000 0.0000
0.0000 0.0000 0.4569
0.5000 0.5000 0.6919
0.5000 0.5000 0.2819
```

Here is Y2TaCr at its PBEsol-relaxed geometry from Alexandria via LeMat-Bulk. Energies are from SCAN.

Output
**Spin magnetization**: 1.468 μB/cell
**DOS at the Fermi energy**: 0.992 states/eV/atom
**Uncorrected energy**: -139.3 eV for the cell shown
**Crystal system**: orthorhombic
**Energy of formation from the pure elements**: 32.5 kJ per mole of atoms
**Energy above the most stable polymorph in this dataset**: 0.00 eV per formula unit

```
Y2TaCr
1.0
-1.6981 2.5296 4.9995
1.6981 -2.5296 4.9995
1.6981 2.5296 -4.9995
Y Ta Cr
2 1 1
direct
0.0000 0.0000 0.0000
0.7141 0.2141 0.5000
0.4231 0.4231 0.0000
0.2537 0.7537 0.5000
```

Here is TaZn2Cr at its PBEsol-relaxed geometry from Alexandria via LeMat-Bulk. Energies are from SCAN.

Output
**Spin magnetization**: 0.000 μB/cell
**DOS at the Fermi energy**: 0.665 states/eV/atom
**Uncorrected energy**: -110.8 eV for the cell shown
**Crystal system**: trigonal
**Energy of formation from the pure elements**: 27.8 kJ per mole of atoms
**Energy above the most stable polymorph in this dataset**: 0.80 eV per formula unit

```
TaZn2Cr
1.0
1.3592 0.7848 9.0046
-1.3592 0.7848 9.0046
0.0000 -1.5695 9.0046
Ta Zn Cr
1 2 1
direct
0.0000 0.0000 0.0000
0.2449 0.2449 0.2449
0.4974 0.4974 0.4974
0.7531 0.7531 0.7531
```

Here is TaZn2Cr at its PBEsol-relaxed geometry from Alexandria via LeMat-Bulk. Energies are from SCAN.

Output
**Spin magnetization**: 0.140 μB/cell
**DOS at the Fermi energy**: 0.592 states/eV/atom
**Uncorrected energy**: -110.9 eV for the cell shown
**Crystal system**: cubic
**Energy of formation from the pure elements**: 25.5 kJ per mole of atoms
**Energy above the most stable polymorph in this dataset**: 0.70 eV per formula unit

```
TaZn2Cr
1.0
0.0000 3.0478 3.0478
3.0478 0.0000 3.0478
3.0478 3.0478 0.0000
Ta Zn Cr
1 2 1
direct
0.0000 0.0000 0.0000
0.5000 0.5000 0.5000
0.7500 0.7500 0.7500
0.2500 0.2500 0.2500
```

Here is TaZn2Cr at its PBEsol-relaxed geometry from Alexandria via LeMat-Bulk. Energies are from SCAN.

Output
**Spin magnetization**: 0.000 μB/cell
**DOS at the Fermi energy**: 0.322 states/eV/atom
**Uncorrected energy**: -111.6 eV for the cell shown
**Crystal system**: orthorhombic
**Energy of formation from the pure elements**: 8.6 kJ per mole of atoms
**Energy above the most stable polymorph in this dataset**: 0.00 eV per formula unit

```
TaZn2Cr
1.0
2.6080 0.0000 0.0000
0.0000 4.0814 0.0000
0.0000 0.0000 5.2043
Ta Zn Cr
1 2 1
direct
0.0000 0.0000 0.0000
0.5000 0.5000 0.2648
0.5000 0.5000 0.7352
0.0000 0.0000 0.5000
```

Here is TaZnCr at its PBEsol-relaxed geometry from Alexandria via LeMat-Bulk. Energies are from SCAN.

Output
**Spin magnetization**: 2.594 μB/cell
**DOS at the Fermi energy**: 1.164 states/eV/atom
**Uncorrected energy**: -95.3 eV for the cell shown
**Crystal system**: cubic
**Energy of formation from the pure elements**: 101.1 kJ per mole of atoms

```
TaZnCr
1.0
0.0000 2.9793 2.9793
2.9793 0.0000 2.9793
2.9793 2.9793 0.0000
Ta Zn Cr
1 1 1
direct
0.0000 0.0000 0.0000
0.2500 0.2500 0.2500
0.7500 0.7500 0.7500
```